[1]
VASP calculation (PBE) on an optimized crystal structure of Na2FeTc2.

The crystal system is tetragonal. Its space group is P4/mmm.

abc: 4.443 4.443 5.383
angles: 90.00 90.00 90.00
Fractional positions:
Na1 0.000 0.000 0.000
Na2 0.500 0.500 0.000
Fe1 0.000 0.000 0.500
Tc1 0.000 0.500 0.500
Tc2 0.500 0.000 0.500



[2]
VASP calculation (PBE) on an optimized crystal structure of NaFe3Tc.

The calculation puts the energy above the lowest structure with this stoichiometry at 0.00 eV per formula unit. The crystal system is cubic. Its space group is Pm-3m.

abc: 4.586 4.586 4.586
angles: 90.00 90.00 90.00
Fractional positions:
Na1 0.000 0.000 0.000
Fe1 0.000 0.500 0.500
Fe2 0.500 0.000 0.500
Fe3 0.500 0.500 0.000
Tc1 0.500 0.500 0.500



[3]
VASP calculation (PBE) on an optimized crystal structure of Na2FeTc.

The calculation puts the energy above the lowest structure with this stoichiometry at 0.27 eV per formula unit. The crystal system is cubic. Its space group is Fm-3m.

abc: 4.760 4.760 4.760
angles: 60.00 60.00 60.00
Fractional positions:
Na1 0.250 0.250 0.250
Na2 0.750 0.750 0.750
Fe1 0.000 0.000 0.000
Tc1 0.500 0.500 0.500



no.,calculated formation energy (kJ per mole of atoms),DOS(E_F) (states/eV/atom)
1,109.8,0.914
2,120.6,1.454
3,135.5,0.556